Material: K2Sr2Zn
Method: DFT, PBE
State: relaxed

abc: 8.605 8.605 7.441
angles: 90.00 90.00 90.00
Space group P4/mbm (No. 127)
Symmetry-distinct sites (fractional):
K 0.174 0.326 0.000 (multiplicity 4)
Sr 0.171 0.671 0.500 (multiplicity 4)
Zn 0.000 0.000 0.500 (multiplicity 2)

**N(E_F)**: 5.5 states/eV/f.u.
**Final energy**: -1.23 eV/atom
**Total moment**: 0.0 μB/f.u.